A relaxed Eu3Ga4Ge6 crystal. Source: Alexandria, functional PBE-GGA.

Output
**Volume**: 22.328 Å³/atom
**Crystal system**: monoclinic
**ΔE_f**: -0.442 eV per atom

abc: 12.285 12.285 10.961
angles: 91.63 91.63 20.55
Element x y z (fractional)
Eu1 0.023 0.023 0.333
Eu2 0.144 0.144 0.600
Eu3 0.327 0.327 0.955
Eu4 0.673 0.673 0.045
Eu5 0.856 0.856 0.400
Eu6 0.977 0.977 0.667
Ga1 0.076 0.076 0.084
Ga2 0.260 0.260 0.242
Ga3 0.363 0.363 0.622
Ga4 0.434 0.434 0.228
Ga5 0.566 0.566 0.772
Ga6 0.637 0.637 0.378
Ga7 0.740 0.740 0.758
Ga8 0.924 0.924 0.916
Ge1 0.105 0.105 0.864
Ge2 0.153 0.153 0.261
Ge3 0.209 0.209 0.858
Ge4 0.273 0.273 0.475
Ge5 0.447 0.447 0.466
Ge6 0.476 0.476 0.896
Ge7 0.524 0.524 0.104
Ge8 0.553 0.553 0.534
Ge9 0.727 0.727 0.525
Ge10 0.791 0.791 0.142
Ge11 0.847 0.847 0.739
Ge12 0.895 0.895 0.136

---

A relaxed EuGaGe crystal. Source: Alexandria, functional PBE-GGA.

Output
**Volume**: 23.501 Å³/atom
**Crystal system**: hexagonal
**ΔE_f**: -0.609 eV per atom

abc: 4.299 4.299 17.620
angles: 90.00 90.00 120.00
Element x y z (fractional)
Eu1 0.000 0.000 0.000
Eu2 0.000 0.000 0.250
Eu3 0.000 0.000 0.500
Eu4 0.000 0.000 0.750
Ga1 0.333 0.667 0.148
Ga2 0.333 0.667 0.352
Ga3 0.667 0.333 0.648
Ga4 0.667 0.333 0.852
Ge1 0.333 0.667 0.612
Ge2 0.333 0.667 0.888
Ge3 0.667 0.333 0.112
Ge4 0.667 0.333 0.388

---

A relaxed EuGa2Ge crystal. Source: Alexandria, functional PBE-GGA.

Output
**Volume**: 23.086 Å³/atom
**Crystal system**: trigonal
**ΔE_f**: -0.320 eV per atom

abc: 6.097 6.097 6.097
angles: 42.15 42.15 42.15
Element x y z (fractional)
Eu1 0.000 0.000 0.000
Ga1 0.224 0.224 0.224
Ga2 0.776 0.776 0.776
Ge1 0.500 0.500 0.500

---

A relaxed EuGaHgGe crystal. Source: Alexandria, functional PBE-GGA.

Output
**Volume**: 23.733 Å³/atom
**Crystal system**: cubic
**ΔE_f**: -0.256 eV per atom

abc: 5.120 5.120 5.120
angles: 60.00 60.00 60.00
Element x y z (fractional)
Eu1 0.000 0.000 0.000
Ga1 0.500 0.500 0.500
Hg1 0.250 0.250 0.250
Ge1 0.750 0.750 0.750

---

A relaxed EuInGaGe crystal. Source: Alexandria, functional PBE-GGA.

Output
**Volume**: 23.820 Å³/atom
**Crystal system**: cubic
**ΔE_f**: -0.257 eV per atom

abc: 5.127 5.127 5.127
angles: 60.00 60.00 60.00
Element x y z (fractional)
Eu1 0.000 0.000 0.000
In1 0.500 0.500 0.500
Ga1 0.750 0.750 0.750
Ge1 0.250 0.250 0.250

---

A relaxed LaEuGaGe crystal. Source: Alexandria, functional PBE-GGA.

Output
**Volume**: 26.228 Å³/atom
**Crystal system**: cubic
**ΔE_f**: -0.566 eV per atom

abc: 5.294 5.294 5.294
angles: 60.00 60.00 60.00
Element x y z (fractional)
La1 0.000 0.000 0.000
Eu1 0.500 0.500 0.500
Ga1 0.250 0.250 0.250
Ge1 0.750 0.750 0.750